{
  "formula": "MgTlGa",
  "functional": "PBE-GGA",
  "state": "relaxed",
  "lattice_angstrom": [[5.6717, 0.0000, 0.0000], [0.0000, 4.3012, 0.0000], [-1.4747, 0.0000, 6.0067]],
  "species": ["Mg", "Mg", "Tl", "Tl", "Ga", "Ga"],
  "fractional_positions": [[0.0885, 0.2500, 0.3562], [0.9115, 0.7500, 0.6438], [0.2645, 0.2500, 0.9272], [0.7355, 0.7500, 0.0728], [0.3975, 0.7500, 0.5729], [0.6025, 0.2500, 0.4271]],
  "dft_energy_ev_per_fu": -6.90,
  "delta_e_f_mev_per_atom": 28,
  "sg": "P2_1/m",
  "magnetic_moment_mub_per_cell": 0.00
}

***

{
  "formula": "K3U3PaS8",
  "functional": "PBE-GGA",
  "state": "relaxed",
  "lattice_angstrom": [[4.0009, 2.3099, 7.5740], [-4.0009, 2.3099, 7.5740], [0.0000, -4.6198, 7.5740]],
  "species": ["K", "K", "K", "U", "U", "U", "Pa", "S", "S", "S", "S", "S", "S", "S", "S"],
  "fractional_positions": [[0.0000, 0.5000, 0.5000], [0.5000, 0.0000, 0.5000], [0.5000, 0.5000, 0.0000], [0.0000, 0.0000, 0.5000], [0.0000, 0.5000, 0.0000], [0.5000, 0.0000, 0.0000], [0.5000, 0.5000, 0.5000], [0.2345, 0.2345, 0.2345], [0.2367, 0.7314, 0.7314], [0.2686, 0.2686, 0.7633], [0.2686, 0.7633, 0.2686], [0.7314, 0.2367, 0.7314], [0.7314, 0.7314, 0.2367], [0.7633, 0.2686, 0.2686], [0.7655, 0.7655, 0.7655]],
  "dft_energy_ev_per_fu": -101.45,
  "raw_formation_energy_ev_per_atom": -1.452,
  "sg": "R-3m",
  "magnetic_moment_mub_per_cell": 10.01
}

***

{
  "formula": "Mn4AgRh",
  "functional": "PBE-GGA",
  "state": "relaxed",
  "lattice_angstrom": [[0.0000, 3.3779, 3.3779], [3.3779, 0.0000, 3.3779], [3.3779, 3.3779, 0.0000]],
  "species": ["Mn", "Mn", "Mn", "Mn", "Ag", "Rh"],
  "fractional_positions": [[0.1254, 0.1254, 0.1254], [0.1254, 0.1254, 0.6238], [0.1254, 0.6238, 0.1254], [0.6238, 0.1254, 0.1254], [0.5000, 0.5000, 0.5000], [0.7500, 0.7500, 0.7500]],
  "dft_energy_ev_per_fu": -45.13,
  "delta_e_f_mev_per_atom": 292,
  "sg": "F-43m",
  "magnetic_moment_mub_per_cell": 6.05
}

***

{
  "formula": "ErThTl2",
  "functional": "PBE-GGA",
  "state": "relaxed",
  "lattice_angstrom": [[3.5750, 0.0000, 0.0000], [0.0000, 3.5750, 0.0000], [0.0000, 0.0000, 8.7513]],
  "species": ["Er", "Th", "Tl", "Tl"],
  "fractional_positions": [[0.0000, 0.0000, 0.0000], [0.0000, 0.0000, 0.5000], [0.5000, 0.5000, 0.2384], [0.5000, 0.5000, 0.7616]],
  "dft_energy_ev_per_fu": -17.62,
  "delta_e_f_mev_per_atom": -226,
  "sg": "P4/mmm",
  "magnetic_moment_mub_per_cell": 0.14
}

***

{
  "formula": "Tm3Bi3Te",
  "functional": "PBE-GGA",
  "state": "relaxed",
  "lattice_angstrom": [[4.3369, -6.2714, 0.0000], [4.3369, 6.2714, 0.0000], [-0.7100, 0.0000, 8.2510]],
  "species": ["Tm", "Tm", "Tm", "Tm", "Tm", "Tm", "Bi", "Bi", "Bi", "Bi", "Bi", "Bi", "Te", "Te"],
  "fractional_positions": [[0.0569, 0.0569, 0.2168], [0.1620, 0.4987, 0.6902], [0.4987, 0.1620, 0.6902], [0.5013, 0.8380, 0.3098], [0.8380, 0.5013, 0.3098], [0.9431, 0.9431, 0.7832], [0.1603, 0.8397, 0.5000], [0.2253, 0.7747, 0.0000], [0.4016, 0.4016, 0.3395], [0.5984, 0.5984, 0.6605], [0.7747, 0.2253, 0.0000], [0.8397, 0.1603, 0.5000], [0.2693, 0.2693, 0.9317], [0.7307, 0.7307, 0.0683]],
  "dft_energy_ev_per_fu": -32.46,
  "raw_formation_energy_ev_per_atom": -0.609,
  "sg": "C2/m",
  "magnetic_moment_mub_per_cell": 0.00
}

***

{
  "formula": "TlMo2Rh",
  "functional": "PBE-GGA",
  "state": "relaxed",
  "lattice_angstrom": [[4.0593, 0.0000, 0.0000], [0.0000, 4.0855, 0.0000], [0.0000, 0.0000, 8.2802]],
  "species": ["Tl", "Tl", "Mo", "Mo", "Mo", "Mo", "Rh", "Rh"],
  "fractional_positions": [[0.0000, 0.0000, 0.0000], [0.5000, 0.5000, 0.0000], [0.0000, 0.0000, 0.5258], [0.0000, 0.5000, 0.2795], [0.5000, 0.0000, 0.2795], [0.5000, 0.5000, 0.5258], [0.0000, 0.5000, 0.7353], [0.5000, 0.0000, 0.7353]],
  "dft_energy_ev_per_fu": -30.15,
  "relative_energy_mev_per_atom": 9,
  "delta_e_f_mev_per_atom": 307,
  "sg": "Cmm2",
  "magnetic_moment_mub_per_cell": 0.00
}

***

{
  "formula": "LiHf2Fe2",
  "functional": "PBE-GGA",
  "state": "relaxed",
  "lattice_angstrom": [[7.0882, 0.0000, 0.0000], [0.0000, 7.0882, 0.0000], [0.0000, 0.0000, 3.1896]],
  "species": ["Li", "Li", "Hf", "Hf", "Hf", "Hf", "Fe", "Fe", "Fe", "Fe"],
  "fractional_positions": [[0.0000, 0.0000, 0.0000], [0.5000, 0.5000, 0.0000], [0.1587, 0.3413, 0.5000], [0.3413, 0.8413, 0.5000], [0.6587, 0.1587, 0.5000], [0.8413, 0.6587, 0.5000], [0.1360, 0.6360, 0.0000], [0.3640, 0.1360, 0.0000], [0.6360, 0.8640, 0.0000], [0.8640, 0.3640, 0.0000]],
  "dft_energy_ev_per_fu": -38.61,
  "delta_e_f_mev_per_atom": 28,
  "sg": "P4/mbm",
  "magnetic_moment_mub_per_cell": 0.01
}

***

{
  "formula": "ScSCl",
  "functional": "PBE-GGA",
  "state": "relaxed",
  "lattice_angstrom": [[3.7220, 0.0000, 0.0000], [-1.8610, 3.2234, 0.0000], [0.0000, 0.0000, 6.4431]],
  "species": ["Sc", "S", "Cl"],
  "fractional_positions": [[0.0000, 0.0000, 0.0000], [0.6667, 0.3333, 0.1938], [0.3333, 0.6667, 0.7538]],
  "dft_energy_ev_per_fu": -18.17,
  "raw_formation_energy_ev_per_atom": -1.956,
  "sg": "P3m1",
  "magnetic_moment_mub_per_cell": 0.00
}

***

{
  "formula": "PmZn2Pd2Pt",
  "functional": "PBE-GGA",
  "state": "relaxed",
  "lattice_angstrom": [[4.7274, 0.0000, 0.0000], [0.0000, 4.7274, 0.0000], [0.0000, 0.0000, 5.5416]],
  "species": ["Pm", "Zn", "Zn", "Pd", "Pd", "Pt"],
  "fractional_positions": [[0.0000, 0.0000, 0.0000], [0.0000, 0.5000, 0.5000], [0.5000, 0.0000, 0.5000], [0.5000, 0.5000, 0.2455], [0.5000, 0.5000, 0.7545], [0.0000, 0.0000, 0.5000]],
  "dft_energy_ev_per_fu": -26.14,
  "delta_e_f_mev_per_atom": -403,
  "sg": "P4/mmm",
  "magnetic_moment_mub_per_cell": 0.00
}

***

{
  "formula": "Nd2MgS4",
  "functional": "PBE-GGA",
  "state": "relaxed",
  "lattice_angstrom": [[6.6489, 0.0000, 0.0000], [0.6188, 9.4316, 0.0000], [2.9438, 3.4014, 12.0991]],
  "species": ["Nd", "Nd", "Nd", "Nd", "Nd", "Nd", "Nd", "Nd", "Mg", "Mg", "Mg", "Mg", "S", "S", "S", "S", "S", "S", "S", "S", "S", "S", "S", "S", "S", "S", "S", "S"],
  "fractional_positions": [[0.2333, 0.1220, 0.0144], [0.2550, 0.0471, 0.3679], [0.2547, 0.6572, 0.2717], [0.2546, 0.6695, 0.6633], [0.7454, 0.3305, 0.3367], [0.7453, 0.3428, 0.7283], [0.7450, 0.9529, 0.6321], [0.7667, 0.8780, 0.9856], [0.2421, 0.5311, 0.0022], [0.2720, 0.1640, 0.7008], [0.7280, 0.8360, 0.2992], [0.7579, 0.4689, 0.9978], [0.0122, 0.6690, 0.8821], [0.0199, 0.8574, 0.1303], [0.1470, 0.4172, 0.6368], [0.1674, 0.9832, 0.6067], [0.3433, 0.3404, 0.3243], [0.3727, 0.7577, 0.4316], [0.4805, 0.9686, 0.1700], [0.4973, 0.6356, 0.0703], [0.5027, 0.3644, 0.9297], [0.5195, 0.0314, 0.8300], [0.6273, 0.2423, 0.5684], [0.6567, 0.6596, 0.6757], [0.8326, 0.0168, 0.3933], [0.8530, 0.5828, 0.3632], [0.9801, 0.1426, 0.8697], [0.9878, 0.3310, 0.1179]],
  "dft_energy_ev_per_fu": -39.57,
  "relative_energy_mev_per_atom": 131,
  "raw_formation_energy_ev_per_atom": -1.705,
  "sg": "P-1",
  "magnetic_moment_mub_per_cell": 0.00
}

***

{
  "formula": "CaTaIn2",
  "functional": "PBE-GGA",
  "state": "relaxed",
  "lattice_angstrom": [[6.4344, 0.0000, 0.0000], [0.0000, 8.9931, 0.0000], [0.0000, 0.0000, 3.0915]],
  "species": ["Ca", "Ca", "Ta", "Ta", "In", "In", "In", "In"],
  "fractional_positions": [[0.0000, 0.0000, 0.0000], [0.5000, 0.5000, 0.0000], [0.0000, 0.5000, 0.0000], [0.5000, 0.0000, 0.0000], [0.2500, 0.2500, 0.5000], [0.2500, 0.7500, 0.5000], [0.7500, 0.2500, 0.5000], [0.7500, 0.7500, 0.5000]],
  "dft_energy_ev_per_fu": -18.79,
  "delta_e_f_mev_per_atom": 135,
  "sg": "Cmmm",
  "magnetic_moment_mub_per_cell": 0.00
}

***

{
  "formula": "Ti2TeAsPb",
  "functional": "PBE-GGA",
  "state": "relaxed",
  "lattice_angstrom": [[5.3607, 0.0000, 0.0000], [0.0000, 5.3607, 0.0000], [0.0000, 0.0000, 5.1908]],
  "species": ["Ti", "Ti", "Te", "As", "Pb"],
  "fractional_positions": [[0.0000, 0.5000, 0.0000], [0.5000, 0.0000, 0.0000], [0.0000, 0.0000, 0.5000], [0.5000, 0.5000, 0.5000], [0.5000, 0.5000, 0.0000]],
  "dft_energy_ev_per_fu": -22.22,
  "raw_formation_energy_ev_per_atom": 1.014,
  "sg": "P4/mmm",
  "magnetic_moment_mub_per_cell": 3.32
}

***

Please write out number 2 again, unchanged.
{
  "formula": "K3U3PaS8",
  "functional": "PBE-GGA",
  "state": "relaxed",
  "lattice_angstrom": [[4.0009, 2.3099, 7.5740], [-4.0009, 2.3099, 7.5740], [0.0000, -4.6198, 7.5740]],
  "species": ["K", "K", "K", "U", "U", "U", "Pa", "S", "S", "S", "S", "S", "S", "S", "S"],
  "fractional_positions": [[0.0000, 0.5000, 0.5000], [0.5000, 0.0000, 0.5000], [0.5000, 0.5000, 0.0000], [0.0000, 0.0000, 0.5000], [0.0000, 0.5000, 0.0000], [0.5000, 0.0000, 0.0000], [0.5000, 0.5000, 0.5000], [0.2345, 0.2345, 0.2345], [0.2367, 0.7314, 0.7314], [0.2686, 0.2686, 0.7633], [0.2686, 0.7633, 0.2686], [0.7314, 0.2367, 0.7314], [0.7314, 0.7314, 0.2367], [0.7633, 0.2686, 0.2686], [0.7655, 0.7655, 0.7655]],
  "dft_energy_ev_per_fu": -101.45,
  "raw_formation_energy_ev_per_atom": -1.452,
  "sg": "R-3m",
  "magnetic_moment_mub_per_cell": 10.01
}